Entry 1:
The following is a GGA-PBE calculation of a geometry-optimized KMo2As structure, from Alexandria via LeMat-Bulk.

abc: 5.5179 5.5179 5.5179
angles: 137.37 137.37 61.88
Element x y z (fractional)
As 0.2500 0.7500 0.5000
Mo 0.5000 0.5000 0.0000
Mo 0.0000 0.0000 0.0000
K 0.7500 0.2500 0.5000

Calculated values
**Crystal system**: tetragonal
**Calculated formation energy**: 1.303 eV per atom

Entry 2:
The following is a GGA-PBE calculation of a geometry-optimized Ba2CaAg structure, from Alexandria via LeMat-Bulk.

abc: 7.2994 7.2994 7.2994
angles: 144.93 129.04 63.36
Element x y z (fractional)
Ca 0.7500 0.2500 0.5000
Ba 0.0479 0.0479 0.0000
Ba 0.4521 0.4521 0.0000
Ag 0.2500 0.7500 0.5000

Calculated values
**Crystal system**: orthorhombic
**ΔE to the lowest computed polymorph**: 0.48 eV per formula unit
**Calculated formation energy**: -0.013 eV per atom

Entry 3:
The following is a GGA-PBE calculation of a geometry-optimized VHgN2 structure, from Alexandria via LeMat-Bulk.

abc: 6.7602 6.7602 6.7602
angles: 25.33 25.33 25.33
Element x y z (fractional)
V 0.5000 0.5000 0.5000
Hg 0.0000 0.0000 0.0000
N 0.8871 0.8871 0.8871
N 0.1129 0.1129 0.1129

Calculated values
**Crystal system**: trigonal
**Formation energy from raw total energies**: -40 meV per atom